Material: NpNi3O7
Method: DFT, PBE+U
State: optimized geometry

Geometry as extended XYZ:
```
22
Lattice="6.056 -0.245 0.000 -2.328 5.597 0.000 0.000 0.000 7.857" Properties=species:S:1:pos:R:3 pbc="T T T"
O 0.392 3.701 5.893
O -1.729 5.179 5.893
O -0.223 1.915 4.328
O 5.458 0.172 1.964
O 3.336 1.650 1.964
O 1.874 0.454 3.529
O 1.867 0.451 0.403
O 3.952 3.436 0.399
O 0.855 3.379 1.964
O 1.855 4.897 7.458
O 2.873 1.973 5.893
O -0.223 1.907 7.454
O 3.952 3.444 3.526
O 1.862 4.900 4.331
Np 3.727 5.348 0.000
Np 0.002 0.003 3.929
Ni 0.789 5.351 1.957
Ni 2.939 0.000 5.886
Ni -1.018 2.757 1.971
Ni 1.867 2.679 3.929
Ni 1.862 2.672 0.000
Ni 4.747 2.594 5.900
```

Calculated density ... 6.66 g/cm3
E ... -6.3278 eV/atom
DOS(E_F) ... 0.102 states/eV/atom
Spin magnetization ... 14.1 μB/cell